{"formula": "ScFe2Ni", "functional": "GGA-PBEsol", "state": "relaxed", "formation_enthalpy_0k_mev_per_atom": -44, "m_tot_mub_per_fu": 4.9, "spacegroup": "I4/mmm (139)", "lattice": [[3.5549, 0.0000, 0.0000], [0.0000, 3.5549, 0.0000], [-1.7775, -1.7775, 4.0887]], "species": ["Sc", "Ni", "Fe", "Fe"], "fractional_positions": [[0.0000, 0.0000, 0.0000], [0.5000, 0.5000, 0.0000], [0.2500, 0.7500, 0.5000], [0.7500, 0.2500, 0.5000]]}